No. 1
# BaGa2NiGe GGA-PBE optimized geometry
# formation energy from the elements = -0.243 eV/atom
data_BaGa2NiGe
_cell_length_a 4.740
_cell_length_b 4.740
_cell_length_c 4.822
_cell_angle_alpha 90.00
_cell_angle_beta 90.00
_cell_angle_gamma 90.00
_symmetry_space_group_name_H-M 'P 4/m m m'
_symmetry_Int_Tables_number 123
_symmetry_space_group_name_Hall '-P 4 2'
loop_
_atom_site_label
_atom_site_type_symbol
_atom_site_fract_x
_atom_site_fract_y
_atom_site_fract_z
Ba1 Ba 0.000 0.000 0.000
Ga1 Ga 0.000 0.500 0.500
Ni1 Ni 0.500 0.500 0.500
Ge1 Ge 0.500 0.500 0.000

---

No. 2
# Ac2Zn3Sn2 GGA-PBE optimized geometry
# formation energy from the elements = -0.450 eV/atom
data_Ac2Zn3Sn2
_cell_length_a 12.208
_cell_length_b 4.524
_cell_length_c 6.992
_cell_angle_alpha 90.00
_cell_angle_beta 100.50
_cell_angle_gamma 90.00
_symmetry_space_group_name_H-M 'C 1 2/m 1'
_symmetry_Int_Tables_number 12
_symmetry_space_group_name_Hall '-C 2y'
loop_
_atom_site_label
_atom_site_type_symbol
_atom_site_fract_x
_atom_site_fract_y
_atom_site_fract_z
Ac1 Ac 0.156 0.000 0.229
Zn1 Zn 0.000 0.500 0.500
Zn2 Zn 0.062 0.500 0.879
Sn1 Sn 0.133 0.000 0.718

---

No. 3
# SnBiAs GGA-PBE optimized geometry
# formation energy from the elements = 0.043 eV/atom
data_SnBiAs
_cell_length_a 4.1775
_cell_length_b 4.1775
_cell_length_c 5.5531
_cell_angle_alpha 90.00
_cell_angle_beta 90.00
_cell_angle_gamma 120.00
_symmetry_space_group_name_H-M 'P 3 m 1'
_symmetry_Int_Tables_number 156
_symmetry_space_group_name_Hall 'P 3 -2"'
loop_
_atom_site_label
_atom_site_type_symbol
_atom_site_fract_x
_atom_site_fract_y
_atom_site_fract_z
Sn1 Sn 0.0000 0.0000 0.0000
Bi1 Bi 0.3333 0.6667 0.6134
As1 As 0.6667 0.3333 0.2852

---

No. 4
# Li3Cu2Si4 GGA-PBE optimized geometry
# uncorrected formation energy = -1.1 eV per formula unit
data_Li3Cu2Si4
_cell_length_a 12.212
_cell_length_b 7.099
_cell_length_c 5.961
_cell_angle_alpha 90.00
_cell_angle_beta 91.99
_cell_angle_gamma 90.00
_symmetry_space_group_name_H-M 'C 1 2/c 1'
_symmetry_Int_Tables_number 15
_symmetry_space_group_name_Hall '-C 2yc'
loop_
_atom_site_label
_atom_site_type_symbol
_atom_site_fract_x
_atom_site_fract_y
_atom_site_fract_z
Li1 Li 0.000 0.003 0.250
Li2 Li 0.171 0.497 0.249
Cu1 Cu 0.161 0.159 0.477
Si1 Si 0.001 0.333 0.956
Si2 Si 0.171 0.170 0.067

---

Which formula does entry 3 have?
SnBiAs